A plane-wave DFT calculation with PBE-GGA was carried out for a geometry-optimized IrRhSe structure.

Summary:
Energy above the lowest structure with this stoichiometry ... 0.120 eV per atom
ΔE_f (raw) ... 0.31 eV/atom
Volume ... 92.00 Å³/cell
Total magnetic moment ... 0.00 μB/f.u.

abc: 2.9389 2.9389 10.6522
angles: 90.00 90.00 90.00
With the nearest neighbours (Å) after each atom.
Space group I4mm (No. 107)
Inequivalent atoms, fractional coordinates:
Ir 0.0000 0.0000 0.0000  4 Se 2.68, 4 Rh 2.80, 4 Ir 2.94
Rh 0.0000 0.0000 0.6764  4 Se 2.72, 4 Ir 2.80, 4 Rh 2.94
Se 0.0000 0.0000 0.3418  4 Ir 2.68, 4 Rh 2.72, 4 Se 2.94